Here is PPt2Pb after structural relaxation from Alexandria via LeMat-Bulk. Energies are from PBE.

Its crystal system is tetragonal. The theoretical density is 14.40 g/cm³. The value obtained for the energy above the most stable polymorph in this dataset is 0.498 eV/atom.

The space group is P4/mmm (No. 123) and the conventional cell measures 4.531, 4.531 and 3.529 Å, with angles of 90.00, 90.00 and 90.00 degrees. Symmetry generates all atoms from P at (0.000, 0.000, 0.000), Pt at (0.000, 0.500, 0.500) and Pb at (0.500, 0.500, 0.000).